## TlPtPb5 (GGA-PBE)

Data for a relaxed TlPtPb5 crystal.

Cell and atoms, written as POSCAR:
```
TlPtPb5
1.0
4.830 0.000 0.000
0.000 4.830 0.000
0.000 0.000 8.758
Tl Pt Pb
1 1 5
Direct
0.000 0.000 0.000 Tl
0.500 0.500 0.500 Pt
0.000 0.500 0.304 Pb
0.000 0.500 0.696 Pb
0.500 0.000 0.304 Pb
0.500 0.000 0.696 Pb
0.500 0.500 0.000 Pb
```

Calculated values
The value obtained for the energy relative to the elements is -27 meV per atom. The value obtained for the calculated total energy is -27.1 eV per cell. Its space-group type is No. 123.

***

## RbAlB (GGA-PBE)

Data for a relaxed RbAlB crystal.

Cell and atoms, written as POSCAR:
```
RbAlB
1.0
6.558 -3.048 0.000
6.558 3.048 0.000
-0.085 0.000 5.277
Rb Al B
2 2 2
Direct
0.000 0.000 0.000 Rb
0.660 0.660 0.500 Rb
0.281 0.281 0.987 Al
0.376 0.376 0.490 Al
0.439 0.439 0.139 B
0.439 0.439 0.846 B
```

Calculated values
The value obtained for the energy relative to the elements is 410 meV per atom. The value obtained for the calculated total energy is -20.3 eV per cell. Its space-group type is No. 8. For the energy above the most stable polymorph in this dataset, the calculation gives 194.4 meV per atom.